Entry from Alexandria via LeMat-Bulk: crystalline Sb3Ru at its relaxed geometry (PBE).

Summary:
Crystal system = trigonal
Formation energy without anion corrections = 0.425 eV/atom
Theoretical density = 8.1 g cm⁻³
Calculated total energy = -19.94 eV per cell

a = 4.9968 Å, b = 4.9968 Å, c = 4.9968 Å
α = 109.55°, β = 109.55°, γ = 109.55°
Last column: nearest neighbours and their distance in Å.
Fractional positions:
Sb: 0.5000 0.5000 0.0000  2 Ru 2.88, 4 Sb 2.88
Sb: 0.5000 0.0000 0.5000  4 Sb 2.88, 2 Ru 2.88
Ru: 0.0000 0.0000 0.0000  6 Sb 2.88
Sb: 0.0000 0.5000 0.5000  4 Sb 2.88, 2 Ru 2.88

Entry from Alexandria via LeMat-Bulk: crystalline Sb3Ru at its relaxed geometry (PBE).

Summary:
Crystal system = hexagonal
Formation energy without anion corrections = 0.127 eV/atom
Theoretical density = 8.1 g cm⁻³
Calculated total energy = -21.14 eV per cell

a = 3.3630 Å, b = 3.3630 Å, c = 9.7670 Å
α = 90.00°, β = 90.00°, γ = 120.00°
Last column: nearest neighbours and their distance in Å.
Fractional positions:
Sb: 0.0000 0.0000 0.5000  12 Sb 3.36-3.58
Ru: 0.0000 0.0000 0.0000  6 Sb 2.70
Sb: 0.6667 0.3333 0.8077  3 Ru 2.70
Sb: 0.6667 0.3333 0.1923  3 Ru 2.70